(1)
Material: Er2Tm5Ru5
Method: DFT, PBE-GGA
State: optimized geometry

Properties
The calculation puts the mass density at 10.86 g/cm³. Its energy is -81.36 eV per cell. The space-group type is C2/m. The value obtained for the formation energy is -3.50 eV per formula unit. As for the calculated volume: 21.464 Å³/atom. The value obtained for the total magnetic moment is 0.000 μB/f.u.

Lattice parameters (Å, degrees): 4.7821 4.7821 13.2914 79.68 79.68 60.02
Fractional coordinates of all 12 atoms:
Er1 0.0720 0.0720 0.7841
Er2 0.9280 0.9280 0.2159
Tm1 0.5000 0.5000 0.5000
Tm2 0.3097 0.3097 0.0708
Tm3 0.2153 0.2153 0.3541
Tm4 0.7847 0.7847 0.6459
Tm5 0.6903 0.6903 0.9292
Ru1 0.8550 0.8550 0.4347
Ru2 0.3850 0.3850 0.8449
Ru3 0.6150 0.6150 0.1551
Ru4 0.1450 0.1450 0.5653
Ru5 0.0000 0.0000 0.0000

(2)
Material: Er5TmRu6
Method: DFT, PBE-GGA
State: optimized geometry

Properties
The calculation puts the mass density at 11.69 g/cm³. Its energy is -87.60 eV per cell. The space-group type is Immm. The value obtained for the formation energy is -4.66 eV per formula unit. As for the calculated volume: 19.080 Å³/atom. The value obtained for the total magnetic moment is 0.000 μB/f.u.

Lattice parameters (Å, degrees): 4.7696 6.7441 8.2292 114.19 106.85 90.00
Fractional coordinates of all 12 atoms:
Ru1 0.8336 0.5837 0.6671
Ru2 0.8336 0.0834 0.6671
Ru3 0.5000 0.7504 0.0000
Ru4 0.5000 0.2496 0.0000
Ru5 0.1664 0.9166 0.3329
Ru6 0.1664 0.4163 0.3329
Tm1 0.0000 0.0000 0.0000
Er1 0.6663 0.1663 0.3327
Er2 0.3332 0.3332 0.6665
Er3 0.0000 0.5000 0.0000
Er4 0.6668 0.6668 0.3335
Er5 0.3337 0.8337 0.6673

(3)
Material: ErTm2Ru4
Method: DFT, PBE-GGA
State: optimized geometry

Properties
The calculation puts the mass density at 10.82 g/cm³. Its energy is -48.97 eV per cell. The space-group type is I4/mmm. The value obtained for the formation energy is 1.64 eV per formula unit. As for the calculated volume: 19.935 Å³/atom. The value obtained for the total magnetic moment is 1.348 μB/f.u.

Lattice parameters (Å, degrees): 5.6595 5.6595 5.6595 109.65 109.38 109.38
Fractional coordinates of all 7 atoms:
Er1 0.0000 0.0000 0.0000
Tm1 0.5000 0.5000 0.0000
Tm2 0.5000 0.0000 0.5000
Ru1 0.5000 0.0000 0.0000
Ru2 0.5000 0.5000 0.5000
Ru3 0.0000 0.0000 0.5000
Ru4 0.0000 0.5000 0.0000

(4)
Material: Er3TmRu2
Method: DFT, PBE-GGA
State: optimized geometry

Properties
The calculation puts the mass density at 9.39 g/cm³. Its energy is -76.70 eV per cell. The space-group type is Ibam. The value obtained for the formation energy is -1.64 eV per formula unit. As for the calculated volume: 25.727 Å³/atom. The value obtained for the total magnetic moment is 0.000 μB/f.u.

Lattice parameters (Å, degrees): 6.6444 6.9495 8.2348 114.96 113.79 90.00
Fractional coordinates of all 12 atoms:
Er1 0.5000 0.2500 0.0000
Er2 0.5000 0.7500 0.0000
Er3 0.7659 0.0159 0.5318
Er4 0.2341 0.4841 0.4682
Er5 0.2341 0.9841 0.4682
Er6 0.7659 0.5159 0.5318
Tm1 0.0000 0.5000 0.0000
Tm2 0.0000 0.0000 0.0000
Ru1 0.5855 0.3652 0.7305
Ru2 0.8551 0.1348 0.2695
Ru3 0.1449 0.8652 0.7305
Ru4 0.4145 0.6348 0.2695